Compound: Cr3InNi
Source: the Alexandria database
Functional: PBE
Structure: optimized geometry

Results
distance to the lowest polymorph of the same formula: 17.305 kcal/mol of atoms
electronic total energy: -27.74 eV/f.u.
magnetic moment: 12.51 μB/cell

The structure in POSCAR format:
```
Cr3InNi
1.0
5.0261 0.0000 0.0000
0.0000 5.0261 0.0000
0.0000 0.0000 5.0261
Cr Ni In
3 1 1
Cartesian
0.0000 0.0000 2.5130
0.0000 2.5130 0.0000
2.5130 0.0000 0.0000
2.5130 2.5130 2.5130
0.0000 0.0000 0.0000
```

Compound: CrIn2Ni
Source: the Alexandria database
Functional: PBE
Structure: optimized geometry

Results
distance to the lowest polymorph of the same formula: 1.403 kcal/mol of atoms
electronic total energy: -20.00 eV/f.u.
magnetic moment: 3.46 μB/cell

The structure in POSCAR format:
```
CrIn2Ni
1.0
5.6939 -0.0532 -0.1079
3.0949 4.7796 0.1079
-3.8969 -3.2883 2.5370
Cr Ni In
1 1 2
Cartesian
2.0989 2.0901 1.3224
4.2986 2.3117 0.0000
2.8315 -0.6312 1.2145
0.0573 0.0308 0.0000
```

Compound: CrInNi6
Source: the Alexandria database
Functional: PBE
Structure: optimized geometry

Results
electronic total energy: -47.26 eV/f.u.
magnetic moment: 5.29 μB/cell

The structure in POSCAR format:
```
CrInNi6
1.0
6.3018 -0.0043 0.0000
-2.1199 5.9345 0.0000
0.0000 0.0000 10.3377
In Ni Cr
4 24 4
Cartesian
2.0909 2.9651 0.0282
0.0244 4.4224 7.7533
4.1575 1.5079 7.7533
2.0909 2.9651 5.1407
4.2486 3.7316 3.8132
2.0909 2.9651 2.5844
2.0885 5.2549 1.3557
2.1600 5.2423 6.3817
2.0934 0.6754 3.8132
2.0934 0.6754 1.3557
2.0885 5.2549 3.8132
-0.0309 2.1355 9.1249
4.2506 1.4422 5.0429
-0.0687 4.4881 5.0429
0.0000 0.0000 2.5844
4.2128 3.7948 9.1249
-0.0687 4.4881 0.1260
-0.0309 2.1355 6.3817
2.0219 0.6879 9.1249
2.0909 2.9651 7.7533
2.0219 0.6879 6.3817
-0.0667 2.1986 3.8132
4.2506 1.4422 0.1260
2.1600 5.2423 9.1249
-0.0667 2.1986 1.3557
0.0000 0.0000 7.7533
4.2486 3.7316 1.3557
4.2128 3.7948 6.3817
0.0000 0.0000 0.0316
0.0000 0.0000 5.1373
4.1865 1.4874 2.5844
-0.0046 4.4429 2.5844
```

Compound: CrIn2Ni
Source: the Alexandria database
Functional: PBE
Structure: optimized geometry

Results
distance to the lowest polymorph of the same formula: 6.597 kcal/mol of atoms
electronic total energy: -19.10 eV/f.u.
magnetic moment: 7.77 μB/cell

The structure in POSCAR format:
```
CrIn2Ni
1.0
7.4308 0.0000 0.0000
0.0000 7.4308 0.0000
3.7154 3.7154 2.8479
Cr In Ni
2 4 2
Cartesian
3.7154 7.4308 1.4240
3.7154 3.7154 0.0000
5.5731 5.3089 2.1360
9.2885 9.5527 2.1360
5.8373 1.8577 0.7120
1.5935 5.5731 0.7120
7.4308 3.7154 1.4240
0.0000 0.0000 0.0000
```

Compound: CrIn2Ni
Source: the Alexandria database
Functional: PBE
Structure: optimized geometry

Results
distance to the lowest polymorph of the same formula: 0.045 kcal/mol of atoms
electronic total energy: -20.24 eV/f.u.
magnetic moment: 3.78 μB/cell

The structure in POSCAR format:
```
CrIn2Ni
1.0
0.0000 3.2505 3.2505
3.2505 0.0000 3.2505
3.2505 3.2505 0.0000
In Ni Cr
2 1 1
Cartesian
1.6252 1.6252 1.6252
4.8757 4.8757 4.8757
3.2505 3.2505 3.2505
0.0000 0.0000 0.0000
```

Compound: CrInNi3
Source: the Alexandria database
Functional: PBE
Structure: optimized geometry

Results
distance to the lowest polymorph of the same formula: 0.000 kcal/mol of atoms
electronic total energy: -25.14 eV/f.u.
magnetic moment: 0.00 μB/cell

The structure in POSCAR format:
```
CrInNi3
1.0
4.3118 0.0000 0.0000
0.0000 4.3118 0.0000
0.0000 0.0000 4.3118
In Cr Ni
1 1 3
Cartesian
2.1559 2.1559 2.1559
0.0000 0.0000 0.0000
0.0000 0.0000 2.1559
2.1559 0.0000 0.0000
0.0000 2.1559 0.0000
```

Compound: CrIn2Ni
Source: the Alexandria database
Functional: PBE
Structure: optimized geometry

Results
distance to the lowest polymorph of the same formula: 1.823 kcal/mol of atoms
electronic total energy: -19.93 eV/f.u.
magnetic moment: 3.95 μB/cell

The structure in POSCAR format:
```
CrIn2Ni
1.0
5.1853 -0.1793 0.0000
2.2333 4.6831 0.0000
-3.7093 -2.2519 2.8442
Ni In Cr
1 2 1
Cartesian
3.7093 2.2519 0.0000
1.1166 2.3416 1.4221
0.0000 0.0000 0.0000
2.5926 -0.0897 1.4221
```

Compound: CrIn2Ni2
Source: the Alexandria database
Functional: PBE
Structure: optimized geometry

Results
distance to the lowest polymorph of the same formula: 0.000 kcal/mol of atoms
electronic total energy: -25.30 eV/f.u.
magnetic moment: 0.00 μB/cell

The structure in POSCAR format:
```
CrIn2Ni2
1.0
6.2960 0.0000 0.0000
0.0000 6.2960 0.0000
0.0000 0.0000 3.9287
Ni In Cr
4 4 2
Cartesian
2.3188 5.4668 0.0000
5.4668 3.9772 0.0000
0.8292 2.3188 0.0000
3.9772 0.8292 0.0000
5.1771 2.0290 1.9643
4.2670 5.1771 1.9643
2.0290 1.1190 1.9643
1.1190 4.2670 1.9643
0.0000 0.0000 0.0000
3.1480 3.1480 0.0000
```

Compound: CrIn3Ni
Source: the Alexandria database
Functional: PBE
Structure: optimized geometry

Results
distance to the lowest polymorph of the same formula: 12.317 kcal/mol of atoms
electronic total energy: -19.02 eV/f.u.
magnetic moment: 3.98 μB/cell

The structure in POSCAR format:
```
CrIn3Ni
1.0
5.1231 0.0000 0.0000
0.0000 5.1231 0.0000
0.0000 0.0000 5.1231
In Cr Ni
3 1 1
Cartesian
0.0000 2.5615 0.0000
2.5615 0.0000 0.0000
0.0000 0.0000 2.5615
0.0000 0.0000 0.0000
2.5615 2.5615 2.5615
```

Compound: CrIn3Ni
Source: the Alexandria database
Functional: PBE
Structure: optimized geometry

Results
distance to the lowest polymorph of the same formula: 0.000 kcal/mol of atoms
electronic total energy: -21.69 eV/f.u.
magnetic moment: 4.82 μB/cell

The structure in POSCAR format:
```
CrIn3Ni
1.0
4.9209 0.0000 0.0000
0.0000 4.9209 0.0000
0.0000 0.0000 4.9209
In Ni Cr
3 1 1
Cartesian
2.4604 0.0000 0.0000
0.0000 0.0000 2.4604
0.0000 2.4604 0.0000
0.0000 0.0000 0.0000
2.4604 2.4604 2.4604
```

Compound: Cr3InNi
Source: the Alexandria database
Functional: PBE
Structure: optimized geometry

Results
distance to the lowest polymorph of the same formula: 0.000 kcal/mol of atoms
electronic total energy: -31.49 eV/f.u.
magnetic moment: 0.00 μB/cell

The structure in POSCAR format:
```
Cr3InNi
1.0
-2.4827 0.3910 -3.4857
-3.5072 -0.3355 2.4604
-0.0483 4.2663 0.5129
Cr Ni In
3 1 1
Cartesian
-1.2413 0.1955 -1.7428
-1.7536 -0.1678 1.2302
-0.0242 2.1331 0.2565
0.0000 0.0000 0.0000
-3.0191 2.1608 -0.2562
```

Compound: CrIn2Ni2
Source: the Alexandria database
Functional: PBE
Structure: optimized geometry

Results
distance to the lowest polymorph of the same formula: 3.537 kcal/mol of atoms
electronic total energy: -24.54 eV/f.u.
magnetic moment: 0.01 μB/cell

The structure in POSCAR format:
```
CrIn2Ni2
1.0
7.4050 0.0000 0.0000
0.0000 7.4050 0.0000
0.0000 0.0000 2.8613
Ni In Cr
4 4 2
Cartesian
6.2804 2.5779 1.4307
2.5779 1.1246 1.4307
4.8271 6.2804 1.4307
1.1246 4.8271 1.4307
6.3049 4.8026 0.0000
1.1001 2.6024 0.0000
2.6024 6.3049 0.0000
4.8026 1.1001 0.0000
3.7025 3.7025 0.0000
0.0000 0.0000 0.0000
```